LaSiGePd6: relaxed, GGA-PBE.

Computed properties:
SG = Imma
Theoretical density = 8445 kg/m3
Formation energy (no corrections) = -0.410 eV per atom

Unit cell a=7.9886 b=7.9886 c=7.9886 alpha=130.10 beta=110.77 gamma=90.07
Sites, in units of the cell vectors:
La1 0.4272 0.1772 0.2500
La2 0.5728 0.8228 0.7500
Si1 0.0000 0.5000 0.5000
Si2 0.5000 0.5000 0.0000
Ge1 0.0000 0.0000 0.5000
Ge2 0.0000 0.5000 0.0000
Pd1 0.1164 0.3608 0.2232
Pd2 0.1164 0.8932 0.7555
Pd3 0.1656 0.9156 0.2500
Pd4 0.3135 0.5635 0.7500
Pd5 0.3623 0.1068 0.7232
Pd6 0.3623 0.6392 0.2555
Pd7 0.6377 0.3608 0.7445
Pd8 0.6377 0.8932 0.2768
Pd9 0.6865 0.4365 0.2500
Pd10 0.8344 0.0844 0.7500
Pd11 0.8836 0.1068 0.2445
Pd12 0.8836 0.6392 0.7768